#A
DFT (PBE) results for a relaxed Zn3PbSe crystal.

abc: 5.1991 5.1991 5.1991
angles: 90.00 90.00 90.00
With the nearest neighbours (Å) after each atom.
Space group Pm-3m (No. 221)
Inequivalent atoms, fractional coordinates:
1 Zn 0.0000 0.0000 0.5000 [3 per cell]  2 Pb 2.60
2 Pb 0.0000 0.0000 0.0000 [1 per cell]  6 Zn 2.60
3 Se 0.5000 0.5000 0.5000 [1 per cell]  12 Zn 3.68

## Properties
- total moment (μB/cell) = 0.0

#B
DFT (PBE) results for a relaxed Zn3PbSe crystal.

abc: 5.0088 5.0088 5.0088
angles: 90.00 90.00 90.00
With the nearest neighbours (Å) after each atom.
Space group Pm-3m (No. 221)
Inequivalent atoms, fractional coordinates:
1 Zn 0.0000 0.0000 0.5000 [3 per cell]  2 Se 2.50
2 Pb 0.5000 0.5000 0.5000 [1 per cell]  12 Zn 3.54
3 Se 0.0000 0.0000 0.0000 [1 per cell]  6 Zn 2.50

## Properties
- total moment (μB/cell) = 0.0

The structure with the greatest stability is #B.

#A
DFT (PBE) results for a relaxed ZrPb3Se crystal.

abc: 5.6961 5.6961 5.6961
angles: 90.00 90.00 90.00
With the nearest neighbours (Å) after each atom.
Space group Pm-3m (No. 221)
Inequivalent atoms, fractional coordinates:
1 Zr 0.0000 0.0000 0.0000 [1 per cell]  6 Pb 2.85
2 Pb 0.0000 0.0000 0.5000 [3 per cell]  2 Zr 2.85
3 Se 0.5000 0.5000 0.5000 [1 per cell]  12 Pb 4.03

## Properties
- total moment (μB/cell) = 0.0

#B
DFT (PBE) results for a relaxed ZrPb3Se crystal.

abc: 5.5750 5.5750 5.5750
angles: 90.00 90.00 90.00
With the nearest neighbours (Å) after each atom.
Space group Pm-3m (No. 221)
Inequivalent atoms, fractional coordinates:
1 Zr 0.0000 0.0000 0.0000 [1 per cell]  12 Pb 3.94
2 Pb 0.0000 0.5000 0.5000 [3 per cell]  2 Se 2.79
3 Se 0.5000 0.5000 0.5000 [1 per cell]  6 Pb 2.79

## Properties
- total moment (μB/cell) = 1.9

The structure with the greatest stability is #A.

#A
DFT (PBE) results for a relaxed SiPb2 crystal.

abc: 4.1613 4.1613 5.6950
angles: 90.00 90.00 120.00
With the nearest neighbours (Å) after each atom.
Space group P-3m1 (No. 164)
Inequivalent atoms, fractional coordinates:
1 Si 0.0000 0.0000 0.0000 [1 per cell]  6 Pb 2.87
2 Pb 0.3333 0.6667 0.2742 [2 per cell]  3 Si 2.87

## Properties
- total moment (μB/cell) = 0.0

#B
DFT (PBE) results for a relaxed SiPb2 crystal.

abc: 3.4457 3.8264 12.2230
angles: 90.00 90.00 90.00
With the nearest neighbours (Å) after each atom.
Space group Immm (No. 71)
Inequivalent atoms, fractional coordinates:
1 Si 0.0000 0.0000 0.0000 [2 per cell]  8 Pb 3.09, 2 Si 3.45
2 Pb 0.0000 0.0000 0.3597 [4 per cell]  4 Si 3.09, 3 Pb 3.43-3.45

## Properties
- total moment (μB/cell) = 0.0

#C
DFT (PBE) results for a relaxed SiPb2 crystal.

abc: 5.3248 5.3248 6.4734
angles: 90.00 90.00 120.00
With the nearest neighbours (Å) after each atom.
Space group P6_3/mmc (No. 194)
Inequivalent atoms, fractional coordinates:
1 Si 0.3333 0.6667 0.2500 [2 per cell]  5 Pb 3.07-3.24
2 Pb 0.0000 0.0000 0.0000 [2 per cell]  8 Pb 3.24-3.47, 6 Si 3.47
3 Pb 0.3333 0.6667 0.7500 [2 per cell]  5 Si 3.07-3.24

## Properties
- total moment (μB/cell) = 0.0

The structure with the greatest stability is #A.

#A
DFT (PBE) results for a relaxed SiPb2 crystal.

abc: 7.0912 7.0912 7.0912
angles: 90.00 90.00 90.00
With the nearest neighbours (Å) after each atom.
Space group Fm-3m (No. 225)
Inequivalent atoms, fractional coordinates:
1 Si 0.0000 0.0000 0.0000 [4 per cell]  8 Pb 3.07
2 Pb 0.2500 0.2500 0.2500 [8 per cell]  4 Si 3.07

## Properties
- total moment (μB/cell) = 0.0

#B
DFT (PBE) results for a relaxed SiPb2 crystal.

abc: 12.6541 5.2372 4.8861
angles: 90.00 90.00 90.00
With the nearest neighbours (Å) after each atom.
Space group Cmcm (No. 63)
Inequivalent atoms, fractional coordinates:
1 Si 0.0000 0.1892 0.2500 [4 per cell]  6 Pb 2.98-3.06, 2 Si 3.15
2 Pb 0.1417 0.2650 0.7500 [8 per cell]  3 Si 2.98-3.06

## Properties
- total moment (μB/cell) = 0.0

The structure with the greatest stability is #A.